No. 1
First-principles (PBE-GGA) data for a relaxed structure of Er2Al2Co15, as listed in Alexandria.

Calculated values
Total energy (hartree per atom): -0.245
Total moment (μB per formula unit): 19.687

Cell: 8.3037 8.3037 12.2142 Å, 90.00 90.00 120.00°
Space group R-3m (No. 166, hexagonal axes)
Unique sites:
Er: 0.0000 0.0000 0.1475
Al: 0.0000 0.0000 0.3939
Co: 0.0000 0.2878 0.5000
Co: 0.0000 0.5000 0.0000
Co: 0.0009 0.5005 0.6487

No. 2
First-principles (PBE-GGA) data for a relaxed structure of Tb4Pm2Mg, as listed in Alexandria.

Calculated values
Energy above the lowest structure with this stoichiometry (kcal/mol of atoms): 3.21
Total energy (hartree per atom): -0.145
Total moment (μB per formula unit): 0.965

Cell: 8.2353 8.2353 6.6940 Å, 90.00 90.00 90.00°
Space group I-42m (No. 121)
Unique sites:
Tb: 0.2035 0.2035 0.4230
Pm: 0.0000 0.5000 0.2500
Mg: 0.0000 0.0000 0.0000

No. 3
First-principles (PBE-GGA) data for a relaxed structure of LiTh2SiRh6, as listed in Alexandria.

Calculated values
Raw formation energy (eV/atom): -0.654
Total energy (hartree per atom): -0.268
Total moment (μB per formula unit): 0.000

Cell: 8.8231 8.8261 6.2373 Å, 90.00 134.84 90.00°
Space group C2/m (No. 12)
Unique sites:
Li: 0.0000 0.0000 0.0000
Th: 0.0000 0.2499 0.5000
Si: 0.0000 0.5000 0.0000
Rh: 0.0000 0.2469 0.0000
Rh: 0.2471 0.0000 0.0003
Rh: 0.2473 0.0000 0.4942

No. 4
First-principles (PBE-GGA) data for a relaxed structure of CaLaH6Pt2, as listed in Alexandria.

Calculated values
Total energy (hartree per atom): -0.166
Total moment (μB per formula unit): 0.000

Cell: 7.8118 9.9368 6.3507 Å, 90.00 109.37 90.00°
Space group C2/c (No. 15)
Unique sites:
Ca: 0.0000 0.0858 0.2500
La: 0.0000 0.3472 0.7500
H: 0.0855 0.1218 0.6340
H: 0.1756 0.2397 0.1215
H: 0.1866 0.4744 0.5124
Pt: 0.1866 0.3644 0.3113

No. 5
First-principles (PBE-GGA) data for a relaxed structure of Tl2CdRh3F12, as listed in Alexandria.

Calculated values
Raw formation energy (eV/atom): -1.653
Total energy (hartree per atom): -0.163
Total moment (μB per formula unit): 1.054

Cell: 7.6646 7.6646 18.3645 Å, 90.00 90.00 120.00°
Space group R-3m (No. 166, hexagonal axes)
Unique sites:
Tl: 0.0000 0.0000 0.1375
Cd: 0.0000 0.0000 0.5000
Rh: 0.0000 0.5000 0.0000
F: 0.0304 0.5152 0.1099
F: 0.0646 0.5323 0.3497

No. 6
First-principles (PBE-GGA) data for a relaxed structure of Na3SeO4, as listed in Alexandria.

Calculated values
Raw formation energy (eV/atom): -1.307
Total energy (hartree per atom): -0.173
Total moment (μB per formula unit): 0.999

Cell: 9.0791 4.9090 4.9076 Å, 90.00 90.00 90.00°
Space group Pmn2_1 (No. 31)
Unique sites:
Na: 0.0000 0.2427 0.0000
Na: 0.2500 0.2440 0.5041
Se: 0.0000 0.7034 0.4627
O: 0.0000 0.3514 0.5031
O: 0.0000 0.7447 0.1107
O: 0.2014 0.7577 0.5174

No. 7
First-principles (PBE-GGA) data for a relaxed structure of CuTe2Mo, as listed in Alexandria.

Calculated values
Energy above the lowest structure with this stoichiometry (kcal/mol of atoms): 7.53
Raw formation energy (eV/atom): 0.423
Total energy (hartree per atom): -0.179
Total moment (μB per formula unit): 0.809

Cell: 6.7818 6.7818 6.7818 Å, 90.00 90.00 90.00°
Space group Fm-3m (No. 225)
Unique sites:
Cu: 0.0000 0.0000 0.0000
Te: 0.2500 0.2500 0.2500
Mo: 0.0000 0.0000 0.5000

No. 8
First-principles (PBE-GGA) data for a relaxed structure of La3AlTl, as listed in Alexandria.

Calculated values
Energy above the lowest structure with this stoichiometry (kcal/mol of atoms): 8.77
Total energy (hartree per atom): -0.149
Total moment (μB per formula unit): 0.000

Cell: 5.7617 5.7617 5.7617 Å, 90.00 90.00 90.00°
Space group Pm-3m (No. 221)
Unique sites:
La: 0.0000 0.0000 0.5000
Al: 0.0000 0.0000 0.0000
Tl: 0.5000 0.5000 0.5000

No. 9
First-principles (PBE-GGA) data for a relaxed structure of ZnCrMo4, as listed in Alexandria.

Calculated values
Total energy (hartree per atom): -0.314
Total moment (μB per formula unit): 0.009

Cell: 7.2963 7.2963 7.2963 Å, 90.00 90.00 90.00°
Space group F-43m (No. 216)
Unique sites:
Zn: 0.0000 0.0000 0.0000
Cr: 0.2500 0.2500 0.7500
Mo: 0.1254 0.1254 0.3746

No. 10
First-principles (PBE-GGA) data for a relaxed structure of LiGd3Ni, as listed in Alexandria.

Calculated values
Total energy (hartree per atom): -0.366
Total moment (μB per formula unit): 22.211

Cell: 5.3415 5.3415 5.3415 Å, 90.00 90.00 90.00°
Space group Pm-3m (No. 221)
Unique sites:
Li: 0.0000 0.0000 0.0000
Gd: 0.0000 0.5000 0.5000
Ni: 0.5000 0.5000 0.5000

No. 11
First-principles (PBE-GGA) data for a relaxed structure of Sc2TlFe, as listed in Alexandria.

Calculated values
Total energy (hartree per atom): -0.216
Total moment (μB per formula unit): 1.140

Cell: 11.1875 3.3417 4.7913 Å, 90.00 115.26 90.00°
Space group Cm (No. 8)
Unique sites:
Sc: 0.0000 0.0000 0.0000
Sc: 0.2051 0.0000 0.7052
Tl: 0.2774 0.5000 0.2774
Fe: 0.4941 0.0000 0.4946

No. 12
First-principles (PBE-GGA) data for a relaxed structure of SiGeIN2, as listed in Alexandria.

Calculated values
Energy above the lowest structure with this stoichiometry (kcal/mol of atoms): 10.00
Raw formation energy (eV/atom): 1.489
Total energy (hartree per atom): -0.153
Total moment (μB per formula unit): 0.657

Cell: 3.8715 3.8715 6.2381 Å, 90.00 90.00 90.00°
Space group P4/mmm (No. 123)
Unique sites:
Si: 0.0000 0.0000 0.0000
Ge: 0.5000 0.5000 0.5000
I: 0.5000 0.5000 0.0000
N: 0.0000 0.5000 0.5000